# 1
Here is SbPCl4F6 after structural relaxation from the Alexandria database. Energies are from PBEsol.

Cell lengths 6.5590, 8.5907, 8.5907 Å; angles 90.00, 90.00, 90.00 degrees
Closest atoms and distances in Å follow each position.
Fractional positions:
F1 0.8447 0.2114 0.4314  1 Sb 1.91
F2 0.4471 0.5000 0.0000  1 Sb 1.91
F3 0.1553 0.7114 0.9314  1 Sb 1.91
F4 0.1553 0.2886 0.0686  1 Sb 1.91
F5 0.5529 0.0000 0.5000  1 Sb 1.91
F6 0.1553 0.4314 0.7886  1 Sb 1.91
F7 0.8447 0.0686 0.7114  1 Sb 1.91
F8 0.8640 0.5000 0.0000  1 Sb 1.92
F9 0.1360 0.0000 0.5000  1 Sb 1.92
F10 0.1553 0.5686 0.2114  1 Sb 1.91
F11 0.8447 0.7886 0.5686  1 Sb 1.91
F12 0.8447 0.9314 0.2886  1 Sb 1.91
Cl1 0.3286 0.0372 0.8189  1 P 1.95
Cl2 0.6714 0.1811 0.0372  1 P 1.95
Cl3 0.3286 0.6811 0.5372  1 P 1.95
Cl4 0.6714 0.5372 0.3189  1 P 1.95
Cl5 0.6714 0.4628 0.6811  1 P 1.95
Cl6 0.3286 0.9628 0.1811  1 P 1.95
Cl7 0.3286 0.3189 0.4628  1 P 1.95
Cl8 0.6714 0.8189 0.9628  1 P 1.95
P1 0.5000 0.5000 0.5000  4 Cl 1.95
P2 0.5000 0.0000 0.0000  4 Cl 1.95
Sb1 0.8436 0.0000 0.5000  6 F 1.91-1.92
Sb2 0.1564 0.5000 0.0000  6 F 1.91-1.92

Summary:
Fermi-level density of states	0.000	states/eV per atom
V	20.17	Å³ per atom
calculated total energy	-4.18	eV/atom


# 2
Here is Y8Co5 after structural relaxation from the Alexandria database. Energies are from PBEsol.

Cell lengths 6.9087, 7.0606, 23.2379 Å; angles 90.00, 94.85, 90.00 degrees
Closest atoms and distances in Å follow each position.
Fractional positions:
Y1 0.4852 0.6861 0.7978  6 Co 2.81-3.09
Y2 0.2292 0.5430 0.9151  3 Co 2.75-2.89
Y3 0.7708 0.4570 0.0849  3 Co 2.75-2.89
Y4 0.8351 0.3164 0.8348  4 Co 2.75-2.78
Y5 0.1072 0.3151 0.4623  3 Co 2.70-2.80
Y6 0.3522 0.1699 0.8231  5 Co 2.70-2.92
Y7 0.2708 0.0430 0.5849  3 Co 2.75-2.89
Y8 0.0129 0.1845 0.1965  4 Co 2.73-2.79
Y9 0.9852 0.8139 0.2978  6 Co 2.81-3.09
Y10 0.4871 0.6845 0.3035  4 Co 2.73-2.79
Y11 0.5129 0.3155 0.6965  4 Co 2.73-2.79
Y12 0.6072 0.1849 0.9623  3 Co 2.70-2.80
Y13 0.8928 0.6849 0.5377  3 Co 2.70-2.80
Y14 0.2270 0.8338 0.4416  4 Co 2.68-2.84
Y15 0.5760 0.4750 0.4355  3 Co 2.68-2.94
Y16 0.9871 0.8155 0.8035  4 Co 2.73-2.79
Y17 0.1649 0.6836 0.1652  4 Co 2.75-2.78
Y18 0.7292 0.9570 0.4151  3 Co 2.75-2.89
Y19 0.6649 0.8164 0.6652  4 Co 2.75-2.78
Y20 0.3928 0.8151 0.0377  3 Co 2.70-2.80
Y21 0.2730 0.3338 0.0584  4 Co 2.68-2.84
Y22 0.3351 0.1836 0.3348  4 Co 2.75-2.78
Y23 0.1478 0.6699 0.6769  5 Co 2.70-2.92
Y24 0.7270 0.6662 0.9416  4 Co 2.68-2.84
Y25 0.6478 0.8301 0.1769  5 Co 2.70-2.92
Y26 0.0760 0.0250 0.9355  3 Co 2.68-2.94
Y27 0.9240 0.9750 0.0645  3 Co 2.68-2.94
Y28 0.8522 0.3301 0.3231  5 Co 2.70-2.92
Y29 0.4240 0.5250 0.5645  3 Co 2.68-2.94
Y30 0.5148 0.3139 0.2022  6 Co 2.81-3.09
Y31 0.0148 0.1861 0.7022  6 Co 2.81-3.09
Y32 0.7730 0.1662 0.5584  4 Co 2.68-2.84
Co1 0.7022 0.9689 0.8677  2 Co 2.32-2.41
Co2 0.8282 0.5288 0.7348  2 Co 2.39-2.41
Co3 0.3282 0.9712 0.2348  2 Co 2.39-2.41
Co4 0.0886 0.3851 0.5962  1 Co 2.32
Co5 0.2022 0.5311 0.3677  2 Co 2.32-2.41
Co6 0.9114 0.6149 0.4038  1 Co 2.32
Co7 0.8572 0.5297 0.2179  1 Co 2.39
Co8 0.5422 0.8535 0.5173  1 Co 2.28
Co9 0.2978 0.0311 0.1323  2 Co 2.32-2.41
Co10 0.3572 0.9703 0.7179  1 Co 2.39
Co11 0.1718 0.4712 0.2652  2 Co 2.39-2.41
Co12 0.5886 0.1149 0.0962  1 Co 2.32
Co13 0.6428 0.0297 0.2821  1 Co 2.39
Co14 0.0422 0.6465 0.0173  1 Co 2.28
Co15 0.7978 0.4689 0.6323  2 Co 2.32-2.41
Co16 0.4578 0.1465 0.4827  1 Co 2.28
Co17 0.4114 0.8851 0.9038  1 Co 2.32
Co18 0.9578 0.3535 0.9827  1 Co 2.28
Co19 0.1428 0.4703 0.7821  1 Co 2.39
Co20 0.6718 0.0288 0.7652  2 Co 2.39-2.41

Summary:
Fermi-level density of states	0.936	states/eV per atom
energy relative to the elements	-170.6	meV per atom
V	21.72	Å³ per atom
calculated total energy	-7.34	eV/atom


# 3
Here is TlSnF3 after structural relaxation from the Alexandria database. Energies are from PBEsol.

Cell lengths 8.2128, 10.2134, 10.2134 Å; angles 80.82, 71.67, 71.67 degrees
Closest atoms and distances in Å follow each position.
Fractional positions:
F1 0.7771 0.6060 0.7146  2 Sn 2.23-2.25
F2 0.2771 0.7146 0.6060  2 Sn 2.23-2.25
F3 0.9042 0.1793 0.6191  1 Sn 2.05
F4 0.2511 0.9085 0.0798  1 Sn 2.05
F5 0.9177 0.8291 0.6800  1 Sn 2.07
F6 0.7511 0.0798 0.9085  1 Sn 2.05
F7 0.4434 0.1753 0.4214  1 Sn 2.12
F8 0.2618 0.0511 0.7592  1 Sn 2.07
F9 0.5486 0.1660 0.7121  2 Sn 2.25-2.32
F10 0.4042 0.6191 0.1793  1 Sn 2.05
F11 0.0486 0.7121 0.1660  2 Sn 2.25-2.32
F12 0.2498 0.2415 0.9426  1 Sn 2.06
F13 0.0909 0.1605 0.3171  1 Sn 2.09
F14 0.5909 0.3171 0.1605  1 Sn 2.09
F15 0.9528 0.2768 0.8438  2 Sn 2.25-2.29
F16 0.7498 0.9426 0.2415  1 Sn 2.06
F17 0.9434 0.4214 0.1753  1 Sn 2.12
F18 0.4528 0.8438 0.2768  2 Sn 2.25-2.29
F19 0.7352 0.2782 0.3776  2 Sn 2.22-2.27
F20 0.2352 0.3776 0.2782  2 Sn 2.22-2.27
F21 0.0709 0.5686 0.8153  1 Sn 2.08
F22 0.5709 0.8153 0.5686  1 Sn 2.08
F23 0.4177 0.6800 0.8291  1 Sn 2.07
F24 0.7618 0.7592 0.0511  1 Sn 2.07
Tl1 0.0469 0.8531 0.8917  7 F 2.75-3.06
Tl2 0.7423 0.5219 0.9881  7 F 2.67-2.88
Tl3 0.9526 0.1523 0.1070  8 F 2.75-3.02
Tl4 0.5469 0.8917 0.8531  7 F 2.75-3.06
Tl5 0.2603 0.4884 0.0218  7 F 2.65-2.94
Tl6 0.4526 0.1070 0.1523  8 F 2.75-3.02
Tl7 0.7603 0.0218 0.4884  7 F 2.65-2.94
Tl8 0.2423 0.9881 0.5219  7 F 2.67-2.88
Sn1 0.2436 0.2599 0.7402  3 F 2.06-2.25
Sn2 0.7088 0.2629 0.7901  4 F 2.05-2.29
Sn3 0.4538 0.3812 0.3603  4 F 2.09-2.27
Sn4 0.5502 0.6161 0.6312  4 F 2.07-2.25
Sn5 0.9538 0.3603 0.3812  4 F 2.09-2.27
Sn6 0.2088 0.7901 0.2629  4 F 2.05-2.29
Sn7 0.0502 0.6312 0.6161  4 F 2.07-2.25
Sn8 0.7436 0.7402 0.2599  3 F 2.06-2.25

Summary:
Fermi-level density of states	0.000	states/eV per atom
V	19.26	Å³ per atom
calculated total energy	-4.59	eV/atom


# 4
Here is PPt4 after structural relaxation from the Alexandria database. Energies are from PBEsol.

Cell lengths 4.7240, 4.7240, 4.7240 Å; angles 109.47, 109.47, 109.47 degrees
Closest atoms and distances in Å follow each position.
Fractional positions:
Pt1 0.5000 0.0000 0.0000  2 P 2.36
Pt2 0.5000 0.5000 0.5000  2 P 2.36
Pt3 0.0000 0.5000 0.0000  2 P 2.36
Pt4 0.0000 0.0000 0.5000  2 P 2.36
P1 0.0000 0.0000 0.0000  8 Pt 2.36

Summary:
Fermi-level density of states	0.543	states/eV per atom
energy relative to the elements	-112.5	meV per atom
V	16.23	Å³ per atom
calculated total energy	-6.84	eV/atom


# 5
Here is Nd4Ge3S12 after structural relaxation from the Alexandria database. Energies are from PBEsol.

Cell lengths 7.8682, 11.3608, 11.3608 Å; angles 114.84, 103.35, 103.35 degrees
Closest atoms and distances in Å follow each position.
Fractional positions:
S1 0.3118 0.1872 0.0033  1 Ge 2.24
S2 0.2194 0.5330 0.6010  1 Ge 2.21
S3 0.4144 0.2638 0.5485  1 Ge 2.22
S4 0.1864 0.4670 0.0680  1 Ge 2.21
S5 0.9151 0.7105 0.0232  1 Ge 2.21
S6 0.8086 0.1839 0.9967  1 Ge 2.24
S7 0.6506 0.7362 0.2847  1 Ge 2.22
S8 0.7194 0.6010 0.5330  1 Ge 2.21
S9 0.2046 0.3127 0.2895  1 Ge 2.21
S10 0.6864 0.0680 0.4670  1 Ge 2.21
S11 0.1247 0.8161 0.8128  1 Ge 2.24
S12 0.9144 0.5485 0.2638  1 Ge 2.22
S13 0.8919 0.9768 0.6873  1 Ge 2.21
S14 0.4151 0.0232 0.7105  1 Ge 2.21
S15 0.3919 0.6873 0.9768  1 Ge 2.21
S16 0.8118 0.0033 0.1872  1 Ge 2.24
S17 0.6184 0.3990 0.9320  1 Ge 2.21
S18 0.3659 0.7153 0.4515  1 Ge 2.22
S19 0.3086 0.9967 0.1839  1 Ge 2.24
S20 0.6247 0.8128 0.8161  1 Ge 2.24
S21 0.1184 0.9320 0.3990  1 Ge 2.21
S22 0.8659 0.4515 0.7153  1 Ge 2.22
S23 0.7046 0.2895 0.3127  1 Ge 2.21
S24 0.1506 0.2847 0.7362  1 Ge 2.22
Nd1 0.0236 0.2387 0.4625  7 S 2.81-3.01
Nd2 0.7849 0.2239 0.7613  7 S 2.81-3.01
Nd3 0.5236 0.4625 0.2387  7 S 2.81-3.01
Nd4 0.9995 0.0000 0.0000  6 S 2.84-2.85
Nd5 0.4995 0.0000 0.0000  6 S 2.84-2.85
Nd6 0.0610 0.7761 0.5375  7 S 2.81-3.01
Nd7 0.5610 0.5375 0.7761  7 S 2.81-3.01
Nd8 0.2849 0.7613 0.2239  7 S 2.81-3.01
Ge1 0.3574 0.2120 0.8259  4 S 2.21-2.24
Ge2 0.6454 0.7880 0.6139  4 S 2.21-2.24
Ge3 0.0315 0.3861 0.1741  4 S 2.21-2.24
Ge4 0.5315 0.1741 0.3861  4 S 2.21-2.24
Ge5 0.1454 0.6139 0.7880  4 S 2.21-2.24
Ge6 0.8574 0.8259 0.2120  4 S 2.21-2.24

Summary:
Fermi-level density of states	0.000	states/eV per atom
V	21.91	Å³ per atom
calculated total energy	-5.93	eV/atom


# 6
Here is CaHgAs2 after structural relaxation from the Alexandria database. Energies are from PBEsol.

Cell lengths 3.8272, 4.6487, 5.9486 Å; angles 113.00, 108.77, 90.00 degrees
Closest atoms and distances in Å follow each position.
Fractional positions:
Ca1 0.5000 0.5000 0.0001  6 As 3.02-3.06, 2 Hg 3.21
As1 0.6943 0.1943 0.3886  2 As 2.61
As2 0.0217 0.0217 0.0435  2 As 2.61
Hg1 0.2839 0.7839 0.5678  6 As 3.10-3.15, 2 Ca 3.21

Summary:
Fermi-level density of states	0.235	states/eV per atom
energy relative to the elements	-438.4	meV per atom
V	22.82	Å³ per atom
calculated total energy	-3.67	eV/atom


# 7
Here is Ba2Ni after structural relaxation from the Alexandria database. Energies are from PBEsol.

Cell lengths 6.4414, 6.4414, 6.4414 Å; angles 108.19, 108.19, 112.06 degrees
Closest atoms and distances in Å follow each position.
Fractional positions:
Ba1 0.6968 0.1968 0.8936  4 Ni 3.27
Ba2 0.8032 0.6968 0.5000  4 Ni 3.27
Ba3 0.3032 0.8032 0.1064  4 Ni 3.27
Ba4 0.1968 0.3032 0.5000  4 Ni 3.27
Ni1 0.7500 0.7500 0.0000  8 Ba 3.27, 2 Ni 3.60
Ni2 0.2500 0.2500 0.0000  8 Ba 3.27, 2 Ni 3.60

Summary:
Fermi-level density of states	0.872	states/eV per atom
energy relative to the elements	188.8	meV per atom
V	34.24	Å³ per atom
calculated total energy	-3.30	eV/atom


# 8
Here is Y2ZrHg after structural relaxation from the Alexandria database. Energies are from PBEsol.

Cell lengths 4.5145, 4.6396, 4.6396 Å; angles 90.00, 90.00, 90.00 degrees
Closest atoms and distances in Å follow each position.
Fractional positions:
Y1 0.0000 0.5000 0.0000  4 Zr 3.24, 4 Hg 3.24, 4 Y 3.28
Y2 0.0000 0.0000 0.5000  4 Zr 3.24, 4 Hg 3.24, 4 Y 3.28
Hg1 0.5000 0.0000 0.0000  8 Y 3.24, 4 Zr 3.28
Zr1 0.5000 0.5000 0.5000  8 Y 3.24, 4 Hg 3.28

Summary:
Fermi-level density of states	1.575	states/eV per atom
energy relative to the elements	-138.6	meV per atom
V	24.29	Å³ per atom
calculated total energy	-5.96	eV/atom


# 9
Here is CaZn2Os after structural relaxation from the Alexandria database. Energies are from PBEsol.

Cell lengths 4.2179, 4.6978, 4.2179 Å; angles 63.33, 90.00, 116.67 degrees
Closest atoms and distances in Å follow each position.
Fractional positions:
Ca1 0.5000 0.0000 0.5000  8 Zn 2.78, 4 Os 2.98
Os1 0.0000 0.0000 0.0000  8 Zn 2.78, 4 Ca 2.98
Zn1 0.2500 0.5000 0.2500  4 Ca 2.78, 4 Os 2.78, 4 Zn 2.98
Zn2 0.7500 0.5000 0.7500  4 Os 2.78, 4 Ca 2.78, 4 Zn 2.98

Summary:
Fermi-level density of states	0.348	states/eV per atom
energy relative to the elements	162.4	meV per atom
V	16.14	Å³ per atom
calculated total energy	-4.22	eV/atom


# 10
Here is YPtAu4 after structural relaxation from the Alexandria database. Energies are from PBEsol.

Cell lengths 5.3849, 5.3849, 5.3849 Å; angles 60.00, 60.00, 60.00 degrees
Closest atoms and distances in Å follow each position.
Fractional positions:
Y1 0.0000 0.0000 0.0000  12 Au 3.16, 4 Pt 3.30
Au1 0.3754 0.3754 0.3754  6 Au 2.68-2.70
Au2 0.8738 0.3754 0.3754  6 Au 2.68-2.70
Au3 0.3754 0.3754 0.8738  6 Au 2.68-2.70
Au4 0.3754 0.8738 0.3754  6 Au 2.68-2.70
Pt1 0.7500 0.7500 0.7500  12 Au 3.16, 4 Y 3.30

Summary:
Fermi-level density of states	0.479	states/eV per atom
energy relative to the elements	-422.7	meV per atom
V	18.40	Å³ per atom
calculated total energy	-5.34	eV/atom


# 11
Here is KNb3Te after structural relaxation from the Alexandria database. Energies are from PBEsol.

Cell lengths 4.6808, 4.6808, 4.6808 Å; angles 90.00, 90.00, 90.00 degrees
Closest atoms and distances in Å follow each position.
Fractional positions:
K1 0.0000 0.0000 0.0000  6 Nb 2.34
Te1 0.5000 0.5000 0.5000  12 Nb 3.31
Nb1 0.0000 0.5000 0.0000  2 K 2.34
Nb2 0.0000 0.0000 0.5000  2 K 2.34
Nb3 0.5000 0.0000 0.0000  2 K 2.34

Summary:
Fermi-level density of states	1.227	states/eV per atom
V	20.51	Å³ per atom
calculated total energy	-5.01	eV/atom


# 12
Here is KFeGe3 after structural relaxation from the Alexandria database. Energies are from PBEsol.

Cell lengths 4.6699, 4.6699, 4.6699 Å; angles 90.00, 90.00, 90.00 degrees
Closest atoms and distances in Å follow each position.
Fractional positions:
K1 0.5000 0.5000 0.5000  12 Ge 3.30
Ge1 0.0000 0.5000 0.0000  2 Fe 2.33
Ge2 0.5000 0.0000 0.0000  2 Fe 2.33
Ge3 0.0000 0.0000 0.5000  2 Fe 2.33
Fe1 0.0000 0.0000 0.0000  6 Ge 2.33

Summary:
Fermi-level density of states	0.427	states/eV per atom
energy relative to the elements	113.2	meV per atom
V	20.37	Å³ per atom
calculated total energy	-4.87	eV/atom